An optimized crystal structure of GaAsRhSe2, computed with GGA-PBE.

abc: 5.1509 5.1509 4.5630
angles: 90.00 90.00 90.00
Last column: nearest neighbours and their distance in Å.
Fractional coordinates of all 5 atoms:
Rh1 0.0000 0.0000 0.0000  2 As 2.28
Ga1 0.5000 0.5000 0.5000  8 Se 3.44, 4 As 3.64
Se1 0.5000 0.0000 0.0000  2 Rh 2.58
As1 0.0000 0.0000 0.5000  2 Rh 2.28
Se2 0.0000 0.5000 0.0000  2 Rh 2.58

The calculation puts the total magnetic moment at 0.00 μB per formula unit. The calculation puts the total energy at -4.1269 eV per atom. The uncorrected formation energy is 273 meV per atom. The polymorph energy (0 for the lowest one) is 0 meV per atom.


An optimized crystal structure of Sm2GaAs3Rh4, computed with GGA-PBE.

abc: 4.2031 4.2031 10.2716
angles: 90.00 90.00 90.00
Last column: nearest neighbours and their distance in Å.
Fractional coordinates of all 10 atoms:
Rh1 0.5000 0.0000 0.6299  3 As 2.40-2.49, 2 Ga 2.49
Rh2 0.5000 0.5000 0.0000  4 As 2.53
As1 0.5000 0.0000 0.8635  5 Rh 2.40-2.53
Rh3 0.0000 0.0000 0.0000  4 As 2.53
Sm1 0.0000 0.5000 0.7472  6 As 3.20-3.30, 8 Rh 3.21-3.34, 2 Ga 3.30
Rh4 0.0000 0.5000 0.3701  3 As 2.40-2.49, 2 Ga 2.49
Ga1 0.5000 0.5000 0.5000  4 Rh 2.49
As2 0.0000 0.5000 0.1365  5 Rh 2.40-2.53
As3 0.0000 0.0000 0.5000  4 Rh 2.49
Sm2 0.5000 0.0000 0.2528  6 As 3.20-3.30, 8 Rh 3.21-3.34, 2 Ga 3.30

The calculation puts the total magnetic moment at 0.00 μB per formula unit. As for the formation energy from the elements: -9.2 eV/f.u. The calculation puts the total energy at -6.4972 eV per atom.


An optimized crystal structure of Sr2GaAs3Rh4, computed with GGA-PBE.

abc: 4.2792 4.2792 10.3853
angles: 90.00 90.00 90.00
Last column: nearest neighbours and their distance in Å.
Fractional coordinates of all 10 atoms:
Rh1 0.0000 0.5000 0.3719  3 As 2.48-2.52, 2 Ga 2.52
Rh2 0.0000 0.0000 0.0000  4 As 2.55
Sr1 0.0000 0.5000 0.7470  8 Rh 3.27-3.39, 6 As 3.27-3.34, 2 Ga 3.34
Ga1 0.5000 0.5000 0.5000  4 Rh 2.52
As1 0.0000 0.5000 0.1328  5 Rh 2.48-2.55
Sr2 0.5000 0.0000 0.2530  8 Rh 3.27-3.39, 6 As 3.27-3.34, 2 Ga 3.34
As2 0.0000 0.0000 0.5000  4 Rh 2.52
Rh3 0.5000 0.0000 0.6281  3 As 2.48-2.52, 2 Ga 2.52
Rh4 0.5000 0.5000 0.0000  4 As 2.55
As3 0.5000 0.0000 0.8672  5 Rh 2.48-2.55

The calculation puts the total magnetic moment at 0.00 μB per formula unit. As for the formation energy from the elements: -7.7 eV/f.u. The calculation puts the total energy at -5.7419 eV per atom.


An optimized crystal structure of GaTcAsRh, computed with GGA-PBE.

abc: 4.3356 4.3356 4.3356
angles: 60.00 60.00 60.00
Last column: nearest neighbours and their distance in Å.
Fractional coordinates of all 4 atoms:
Rh1 0.5000 0.5000 0.5000  4 Ga 2.65, 4 As 2.65
As1 0.2500 0.2500 0.2500  4 Rh 2.65, 4 Tc 2.65
Tc1 0.0000 0.0000 0.0000  4 As 2.65, 4 Ga 2.65
Ga1 0.7500 0.7500 0.7500  4 Tc 2.65, 4 Rh 2.65

The calculation puts the total magnetic moment at 0.00 μB per formula unit. As for the formation energy from the elements: -1.0 eV/f.u. The calculation puts the total energy at -6.5997 eV per atom.


An optimized crystal structure of Th2GaAsRh6, computed with GGA-PBE.

abc: 5.5363 8.0306 8.6464
angles: 90.00 90.00 90.00
Last column: nearest neighbours and their distance in Å.
Fractional coordinates of all 20 atoms:
Rh1 0.7449 0.5222 0.0000  1 As 2.37, 1 Ga 2.43
Rh2 0.7502 0.9865 0.5000  1 As 2.46, 1 Ga 2.49, 4 Rh 2.65-2.71
Rh3 0.2551 0.5222 0.0000  1 As 2.37, 1 Ga 2.43
Ga1 0.5000 0.2706 0.0000  6 Rh 2.43-2.58
Rh4 0.7551 0.4778 0.5000  1 As 2.37, 1 Ga 2.43
Th1 0.5000 0.7277 0.7407  9 Rh 2.95-3.25
Rh5 0.7498 0.0135 0.0000  1 As 2.46, 1 Ga 2.49, 4 Rh 2.65-2.71
Rh6 0.5000 0.0951 0.2498  1 As 2.46, 1 Ga 2.58, 4 Rh 2.65-2.71
Rh7 0.0000 0.9049 0.7498  1 As 2.46, 1 Ga 2.58, 4 Rh 2.65-2.71
Rh8 0.5000 0.0951 0.7502  1 As 2.46, 1 Ga 2.58, 4 Rh 2.65-2.71
Rh9 0.2449 0.4778 0.5000  1 As 2.37, 1 Ga 2.43
Th2 0.5000 0.7277 0.2593  9 Rh 2.95-3.25
Rh10 0.2502 0.0135 0.0000  1 As 2.46, 1 Ga 2.49, 4 Rh 2.65-2.71
Ga2 0.0000 0.7294 0.5000  6 Rh 2.43-2.58
Th3 0.0000 0.2723 0.7593  9 Rh 2.95-3.25
Th4 0.0000 0.2723 0.2407  9 Rh 2.95-3.25
Rh11 0.0000 0.9049 0.2502  1 As 2.46, 1 Ga 2.58, 4 Rh 2.65-2.71
As1 0.0000 0.7599 0.0000  6 Rh 2.37-2.46
Rh12 0.2498 0.9865 0.5000  1 As 2.46, 1 Ga 2.49, 4 Rh 2.65-2.71
As2 0.5000 0.2401 0.5000  6 Rh 2.37-2.46

The calculation puts the total magnetic moment at 0.00 μB per formula unit. As for the formation energy from the elements: -6.9 eV/f.u. The calculation puts the total energy at -7.3518 eV per atom.


An optimized crystal structure of Th3GaAs2Rh8, computed with GGA-PBE.

abc: 5.5149 5.5149 9.6355
angles: 90.00 90.00 120.00
Last column: nearest neighbours and their distance in Å.
Fractional coordinates of all 14 atoms:
Th1 0.0000 0.0000 0.0000  12 Rh 3.15-3.53, 6 As 3.31
Rh1 0.8355 0.6709 0.7166  1 As 2.44, 1 Ga 2.61, 2 Rh 2.72
Rh2 0.1645 0.8355 0.2834  1 As 2.44, 1 Ga 2.61, 2 Rh 2.72
Rh3 0.6667 0.3333 0.1573  1 As 2.42, 1 Th 2.63
Th2 0.6667 0.3333 0.4308  1 Rh 2.63
Rh4 0.3291 0.1645 0.7166  1 As 2.44, 1 Ga 2.61, 2 Rh 2.72
As1 0.6667 0.3333 0.9061  4 Rh 2.42-2.44
Rh5 0.8355 0.1645 0.7166  1 As 2.44, 1 Ga 2.61, 2 Rh 2.72
Th3 0.3333 0.6667 0.5692  1 Rh 2.63
Rh6 0.1645 0.3291 0.2834  1 As 2.44, 1 Ga 2.61, 2 Rh 2.72
As2 0.3333 0.6667 0.0939  4 Rh 2.42-2.44
Ga1 0.0000 0.0000 0.5000  6 Rh 2.61
Rh7 0.6709 0.8355 0.2834  1 As 2.44, 1 Ga 2.61, 2 Rh 2.72
Rh8 0.3333 0.6667 0.8427  1 As 2.42, 1 Th 2.63

The calculation puts the total magnetic moment at 0.00 μB per formula unit. As for the formation energy from the elements: -10.2 eV/f.u. The calculation puts the total energy at -7.4031 eV per atom.


An optimized crystal structure of TiGaAs2Rh, computed with GGA-PBE.

abc: 4.7182 4.7005 4.7182
angles: 90.00 90.00 90.00
Last column: nearest neighbours and their distance in Å.
Fractional coordinates of all 5 atoms:
As1 0.5000 0.0000 0.0000  2 Ga 2.36
Ga1 0.0000 0.0000 0.0000  2 Ti 2.35, 4 As 2.36
As2 0.0000 0.0000 0.5000  2 Ga 2.36
Rh1 0.5000 0.5000 0.5000  8 As 3.33, 4 Ti 3.34
Ti1 0.0000 0.5000 0.0000  2 Ga 2.35

The calculation puts the total magnetic moment at 0.00 μB per formula unit. As for the formation energy from the elements: 4.7 eV/f.u. The calculation puts the total energy at -4.5760 eV per atom.


An optimized crystal structure of Tm3GaAs2Rh9, computed with GGA-PBE.

abc: 6.2364 6.2364 8.9743
angles: 90.00 90.00 120.00
Last column: nearest neighbours and their distance in Å.
Fractional coordinates of all 15 atoms:
Rh1 0.1399 0.2799 0.2734  1 As 2.26, 1 Ga 2.53
Rh2 0.8601 0.1399 0.7266  1 As 2.26, 1 Ga 2.53
Tm1 0.0000 0.0000 0.0000  12 Rh 2.88-3.12
Rh3 0.8601 0.7201 0.7266  1 As 2.26, 1 Ga 2.53
Tm2 0.6667 0.3333 0.2623  9 Rh 2.96-3.13
Rh4 0.7201 0.8601 0.2734  1 As 2.26, 1 Ga 2.53
Rh5 0.5000 0.5000 0.0000  2 As 2.40
Rh6 0.2799 0.1399 0.7266  1 As 2.26, 1 Ga 2.53
Rh7 0.1399 0.8601 0.2734  1 As 2.26, 1 Ga 2.53
As1 0.6667 0.3333 0.8237  6 Rh 2.26-2.40
Rh8 0.5000 0.0000 0.0000  2 As 2.40
Tm3 0.3333 0.6667 0.7377  9 Rh 2.96-3.13
As2 0.3333 0.6667 0.1763  6 Rh 2.26-2.40
Ga1 0.0000 0.0000 0.5000  6 Rh 2.53
Rh9 0.0000 0.5000 0.0000  2 As 2.40

The calculation puts the total magnetic moment at 0.00 μB per formula unit. As for the formation energy from the elements: -6.5 eV/f.u. The calculation puts the total energy at -6.5585 eV per atom.


An optimized crystal structure of Ga2AsRu2, computed with GGA-PBE.

abc: 6.8898 6.8898 3.3306
angles: 90.00 90.00 90.00
Last column: nearest neighbours and their distance in Å.
Fractional coordinates of all 10 atoms:
Ru1 0.8388 0.6612 0.0000  6 Ga 2.56-2.66, 2 As 2.59
Ru2 0.6612 0.1612 0.0000  6 Ga 2.56-2.66, 2 As 2.59
As1 0.0000 0.0000 0.0000  4 Ru 2.59
Ga1 0.3606 0.1394 0.5000  6 Ru 2.56-2.66, 1 Ga 2.72
Ga2 0.6394 0.8606 0.5000  6 Ru 2.56-2.66, 1 Ga 2.72
Ru3 0.3388 0.8388 0.0000  6 Ga 2.56-2.66, 2 As 2.59
As2 0.5000 0.5000 0.0000  4 Ru 2.59
Ga3 0.1394 0.6394 0.5000  6 Ru 2.56-2.66, 1 Ga 2.72
Ga4 0.8606 0.3606 0.5000  6 Ru 2.56-2.66, 1 Ga 2.72
Ru4 0.1612 0.3388 0.0000  6 Ga 2.56-2.66, 2 As 2.59

The calculation puts the total magnetic moment at 0.00 μB per formula unit. As for the formation energy from the elements: -0.4 eV/f.u. The calculation puts the total energy at -5.9220 eV per atom.


An optimized crystal structure of GaAsRu2, computed with GGA-PBE.

abc: 3.0415 3.0415 6.1063
angles: 90.00 90.00 90.00
Last column: nearest neighbours and their distance in Å.
Fractional coordinates of all 4 atoms:
Ru1 0.0000 0.0000 0.2449  4 As 2.62, 4 Ga 2.66
Ru2 0.0000 0.0000 0.7551  4 As 2.62, 4 Ga 2.66
Ga1 0.5000 0.5000 0.5000  8 Ru 2.66
As1 0.5000 0.5000 0.0000  8 Ru 2.62

The calculation puts the total magnetic moment at 0.00 μB per formula unit. As for the formation energy from the elements: -1.0 eV/f.u. The calculation puts the total energy at -6.8099 eV per atom. The polymorph energy (0 for the lowest one) is 0 meV per atom.